! PBEsol ZnCo2Au, optimized geometry; values from VASP
! - DFT total energy (eV/atom) = -5.09
! - size of the total moment (μB/atom) = 0.703
! - volume (Å³ per atom) = 12.83
! - DOS at the Fermi energy (states/eV/atom) = 1.47
! - ΔE_f (meV/atom) = 159
&SYSTEM
  ibrav = 0, nat = 4, ntyp = 3
/
ATOMIC_SPECIES
Co 58.93 Co.upf
Zn 65.41 Zn.upf
Au 196.97 Au.upf
ATOMIC_POSITIONS crystal
Co 0.000 0.500 0.000
Co 0.000 0.000 0.500
Zn 0.500 0.500 0.500
Au 0.500 0.000 0.000
CELL_PARAMETERS angstrom
-1.426 -0.622 -2.194
-3.492 -1.172 2.602
-0.255 4.372 -1.074

! PBEsol V9PO25, optimized geometry; values from VASP
! - DFT total energy (eV/atom) = -8.62
! - size of the total moment (μB/atom) = 0.000
! - volume (Å³ per atom) = 11.27
&SYSTEM
  ibrav = 0, nat = 35, ntyp = 3
/
ATOMIC_SPECIES
O 16.00 O.upf
P 30.97 P.upf
V 50.94 V.upf
ATOMIC_POSITIONS crystal
O 0.836 0.510 0.804
O 0.262 0.141 0.357
P 0.250 0.500 0.500
O 0.382 0.357 0.859
O 0.597 0.643 0.141
O 0.201 0.605 0.959
O 0.001 0.266 0.699
O 0.733 0.301 0.266
O 0.654 0.196 0.510
O 0.765 0.395 0.041
O 0.947 0.622 0.526
O 0.194 0.041 0.605
O 0.046 0.832 0.063
O 0.759 0.859 0.643
O 0.527 0.526 0.378
O 0.094 0.378 0.474
V 0.864 0.782 0.447
V 0.000 0.000 0.000
O 0.941 0.168 0.937
O 0.360 0.804 0.490
V 0.229 0.898 0.673
V 0.093 0.218 0.553
O 0.122 0.937 0.832
O 0.300 0.699 0.734
O 0.431 0.474 0.622
O 0.840 0.959 0.395
O 0.500 0.000 0.000
O 0.150 0.490 0.196
V 0.801 0.102 0.327
O 0.891 0.063 0.168
V 0.098 0.673 0.102
V 0.354 0.553 0.782
O 0.966 0.734 0.301
V 0.873 0.327 0.898
V 0.689 0.447 0.218
CELL_PARAMETERS angstrom
-0.649 -1.448 -3.206
9.904 -2.816 -2.727
-1.744 -10.095 2.916

! PBEsol CaSiRuRh2, optimized geometry; values from VASP
! - DFT total energy (eV/atom) = -6.16
! - size of the total moment (μB/atom) = 0.467
! - volume (Å³ per atom) = 18.73
! - DOS at the Fermi energy (states/eV/atom) = 0.82
&SYSTEM
  ibrav = 0, nat = 5, ntyp = 4
/
ATOMIC_SPECIES
Rh 102.91 Rh.upf
Si 28.09 Si.upf
Ru 101.07 Ru.upf
Ca 40.08 Ca.upf
ATOMIC_POSITIONS crystal
Rh 0.000 0.500 0.000
Si 0.000 0.000 0.000
Ru 0.500 0.500 0.500
Ca 0.000 0.000 0.500
Rh 0.500 0.000 0.000
CELL_PARAMETERS angstrom
4.314 0.000 0.000
0.000 4.314 0.000
0.000 0.000 5.034

! PBEsol Mg3TiGe, optimized geometry; values from VASP
! - DFT total energy (eV/atom) = -3.07
! - size of the total moment (μB/atom) = 0.408
! - volume (Å³ per atom) = 24.45
! - DOS at the Fermi energy (states/eV/atom) = 1.39
! - ΔE_f (meV/atom) = 614
&SYSTEM
  ibrav = 0, nat = 5, ntyp = 3
/
ATOMIC_SPECIES
Mg 24.30 Mg.upf
Ge 72.64 Ge.upf
Ti 47.87 Ti.upf
ATOMIC_POSITIONS crystal
Mg 0.500 0.000 0.000
Ge 0.000 0.000 0.000
Mg 0.000 0.500 0.000
Mg 0.000 0.000 0.500
Ti 0.500 0.500 0.500
CELL_PARAMETERS angstrom
4.963 0.000 0.000
0.000 4.963 0.000
0.000 0.000 4.963